Computed, not measured: a geometry-optimized LiSmY2 structure at the PBE-GGA level of DFT.

Structure (extended XYZ):
```
4
Lattice="0.0000 3.9165 3.9165 3.9165 0.0000 3.9165 3.9165 3.9165 0.0000" Properties=species:S:1:pos:R:3 pbc="T T T"
Li 0.0000 0.0000 0.0000
Sm 3.9165 3.9165 3.9165
Y 1.9582 1.9582 1.9582
Y 5.8747 5.8747 5.8747
```

Properties
Its calculated density is 4632 kg/m³. The calculation puts the energy of formation at 0.20 eV/atom.

---

Computed, not measured: a geometry-optimized AlPWCl2 structure at the PBE-GGA level of DFT.

Structure (extended XYZ):
```
5
Lattice="4.4448 0.0000 0.0000 0.0000 4.4448 0.0000 0.0000 0.0000 5.2222" Properties=species:S:1:pos:R:3 pbc="T T T"
Al 0.0000 0.0000 0.0000
P 0.0000 0.0000 2.6111
W 2.2224 2.2224 2.6111
Cl 0.0000 2.2224 0.0000
Cl 2.2224 0.0000 0.0000
```

Properties
Its calculated density is 5033 kg/m³.

---

Computed, not measured: a geometry-optimized AcPu2Te structure at the PBE-GGA level of DFT.

Structure (extended XYZ):
```
4
Lattice="4.7929 0.0000 0.0000 0.0000 4.7929 0.0000 0.0000 0.0000 5.1621" Properties=species:S:1:pos:R:3 pbc="T T T"
Ac 0.0000 0.0000 0.0000
Pu 0.0000 2.3964 2.5811
Pu 2.3964 0.0000 2.5811
Te 2.3964 2.3964 0.0000
```

Properties
Its calculated density is 11799 kg/m³.

---

Computed, not measured: a geometry-optimized Pa8Sb2C3 structure at the PBE-GGA level of DFT.

Structure (extended XYZ):
```
13
Lattice="8.1768 -3.2800 0.0000 8.1768 3.2800 0.0000 -1.1133 0.0000 5.7161" Properties=species:S:1:pos:R:3 pbc="T T T"
Pa 0.5638 0.0000 5.1893
Pa 6.0485 1.7126 3.4982
Pa 9.1919 1.7126 2.2179
Pa 6.4854 0.0000 0.6437
Pa 8.7550 0.0000 5.0724
Pa 6.0485 -1.7126 3.4982
Pa 9.1919 -1.7126 2.2179
Pa 14.6765 0.0000 0.5268
Sb 3.3737 0.0000 3.8038
Sb 11.8667 0.0000 1.9123
C 8.1768 1.6153 0.0000
C 7.6202 0.0000 2.8581
C 8.1768 -1.6153 0.0000
```

Properties
Its calculated density is 11524 kg/m³.

---

Calculated volume readings, ordered: 120.1, 103.2, 118.6, 306.6 Å³ per cell
Uncorrected energy readings, ordered: -4.69, -4.47, -9.30, -8.80 eV/atom